Density functional theory data (PBE) for DyTcNi after structural relaxation.

Volume ... 19.435 Å³/atom
Space-group type ... F-43m (216)
Formation energy ... 0.343 eV per atom

Cell lengths 6.1553, 6.1553, 6.1553 Å; angles 90.00, 90.00, 90.00 degrees
Fractional coordinates of all 12 atoms:
Dy1 0.0000 0.0000 0.0000
Dy2 0.0000 0.5000 0.5000
Dy3 0.5000 0.0000 0.5000
Dy4 0.5000 0.5000 0.0000
Tc1 0.0000 0.0000 0.5000
Tc2 0.0000 0.5000 0.0000
Tc3 0.5000 0.0000 0.0000
Tc4 0.5000 0.5000 0.5000
Ni1 0.2500 0.2500 0.2500
Ni2 0.2500 0.7500 0.7500
Ni3 0.7500 0.2500 0.7500
Ni4 0.7500 0.7500 0.2500

---

Density functional theory data (PBE) for SmInFeSe3 after structural relaxation.

Volume ... 27.716 Å³/atom
Space-group type ... Cmcm (63)
DFT total energy ... -5.242 eV per atom

Cell lengths 7.6349, 7.6349, 10.9623 Å; angles 90.00, 90.00, 148.63 degrees
Fractional coordinates of all 12 atoms:
Sm1 0.0000 0.0000 0.0000
Sm2 0.0000 0.0000 0.5000
In1 0.2441 0.7559 0.7500
In2 0.7559 0.2441 0.2500
Fe1 0.4728 0.5272 0.2500
Fe2 0.5272 0.4728 0.7500
Se1 0.0705 0.9295 0.2500
Se2 0.3707 0.6293 0.0760
Se3 0.3707 0.6293 0.4240
Se4 0.6293 0.3707 0.5760
Se5 0.6293 0.3707 0.9240
Se6 0.9295 0.0705 0.7500

---

Density functional theory data (PBE) for MgGaNiMo after structural relaxation.

Volume ... 14.713 Å³/atom
Space-group type ... F-43m (216)
ΔE to the lowest computed polymorph ... 0 meV/atom

Cell lengths 6.1746, 6.1746, 6.1746 Å; angles 90.00, 90.00, 90.00 degrees
Fractional coordinates of all 16 atoms:
Mg1 0.0000 0.0000 0.0000
Mg2 0.0000 0.5000 0.5000
Mg3 0.5000 0.0000 0.5000
Mg4 0.5000 0.5000 0.0000
Ga1 0.0000 0.0000 0.5000
Ga2 0.0000 0.5000 0.0000
Ga3 0.5000 0.0000 0.0000
Ga4 0.5000 0.5000 0.5000
Ni1 0.2500 0.2500 0.7500
Ni2 0.2500 0.7500 0.2500
Ni3 0.7500 0.2500 0.2500
Ni4 0.7500 0.7500 0.7500
Mo1 0.2500 0.2500 0.2500
Mo2 0.2500 0.7500 0.7500
Mo3 0.7500 0.2500 0.7500
Mo4 0.7500 0.7500 0.2500

---

Density functional theory data (PBE) for KHf3Si5 after structural relaxation.

Volume ... 21.728 Å³/atom
Space-group type ... P6/mmm (191)
DFT total energy ... -6.470 eV per atom

Cell lengths 5.8323, 5.8323, 6.6383 Å; angles 90.00, 90.00, 120.00 degrees
Fractional coordinates of all 9 atoms:
K1 0.0000 0.0000 0.0000
Hf1 0.0000 0.5000 0.5000
Hf2 0.5000 0.0000 0.5000
Hf3 0.5000 0.5000 0.5000
Si1 0.0000 0.0000 0.5000
Si2 0.3333 0.6667 0.1739
Si3 0.3333 0.6667 0.8261
Si4 0.6667 0.3333 0.1739
Si5 0.6667 0.3333 0.8261